Material: Nb2Co2O9
Method: DFT, GGA+U
State: optimized geometry

Lattice parameters (Å, degrees): 4.880 4.880 14.275 90.00 90.00 120.00
Each line ends with the local moment (μB).
Positions (direct):
1 Nb 0.000 0.000 0.843  0.01
2 Nb 0.000 0.000 0.343  0.01
3 Nb 0.000 0.000 0.657  0.01
4 Nb 0.000 0.000 0.157  0.01
5 O 0.649 0.649 0.929  -0.02
6 O 0.351 0.000 0.929  -0.02
7 O 0.351 0.351 0.429  -0.02
8 O 0.701 0.701 0.250  -0.02
9 O 0.649 0.649 0.571  -0.02
10 O 0.000 0.351 0.571  -0.02
11 O 0.649 0.000 0.429  -0.02
12 O 0.299 0.299 0.750  -0.02
13 O 0.000 0.351 0.929  -0.02
14 O 0.649 0.000 0.071  -0.02
15 O 0.000 0.701 0.750  -0.02
16 O 0.000 0.299 0.250  -0.02
17 O 0.351 0.351 0.071  -0.02
18 O 0.701 0.000 0.750  -0.02
19 O 0.000 0.649 0.071  -0.02
20 O 0.000 0.649 0.429  -0.02
21 O 0.299 0.000 0.250  -0.02
22 O 0.351 0.000 0.571  -0.02
23 Co 0.667 0.333 0.500  1.07
24 Co 0.667 0.333 0.000  1.07
25 Co 0.333 0.667 0.500  1.07
26 Co 0.333 0.667 0.000  1.07

E_tot: -0.265 Ha/atom
density of states at the Fermi level: 2.33 states/eV/cell

=====

Material: Nb2Co4O9
Method: DFT, GGA+U
State: optimized geometry

Lattice parameters (Å, degrees): 5.222 5.221 14.281 89.99 90.00 60.00
Each line ends with the local moment (μB).
Positions (direct):
1 O 0.000 0.290 0.750  0.08
2 O 0.655 0.022 0.416  -0.01
3 O 0.677 0.344 0.584  -0.01
4 O 0.321 0.656 0.416  -0.01
5 O 0.290 0.000 0.250  0.08
6 O 0.000 0.710 0.250  0.08
7 O 0.657 0.322 0.916  -0.01
8 O 0.344 0.978 0.584  -0.01
9 O 0.290 0.710 0.750  0.08
10 O 0.979 0.344 0.084  -0.01
11 O 0.710 0.290 0.250  0.08
12 O 0.710 0.000 0.750  0.08
13 O 0.679 0.978 0.084  -0.01
14 O 0.977 0.678 0.584  -0.01
15 O 0.021 0.322 0.416  -0.01
16 O 0.323 0.022 0.916  -0.01
17 O 0.345 0.678 0.084  -0.01
18 O 0.023 0.655 0.916  -0.01
19 Co 0.334 0.333 0.015  -2.69
20 Co 0.667 0.666 0.985  -2.69
21 Co 0.667 0.667 0.194  2.71
22 Co 0.333 0.334 0.306  2.71
23 Co 0.667 0.667 0.694  2.71
24 Co 0.334 0.333 0.806  2.71
25 Co 0.333 0.334 0.515  -2.69
26 Co 0.666 0.667 0.485  -2.69
27 Nb 0.001 0.000 0.142  -0.07
28 Nb 0.999 0.001 0.358  -0.07
29 Nb 0.999 0.000 0.642  -0.07
30 Nb 0.001 0.000 0.858  -0.07

E_tot: -0.273 Ha/atom
density of states at the Fermi level: 0.00 states/eV/cell

=====

Material: Nb2CoO6
Method: DFT, GGA+U
State: optimized geometry

Lattice parameters (Å, degrees): 4.828 4.828 9.209 90.00 90.00 90.00
Each line ends with the local moment (μB).
Positions (direct):
1 Co 0.500 0.500 0.000  2.73
2 Co 0.000 0.000 0.500  2.73
3 O 0.796 0.796 0.325  0.04
4 O 0.690 0.310 0.500  0.03
5 O 0.190 0.190 0.000  0.03
6 O 0.310 0.690 0.500  0.03
7 O 0.810 0.810 0.000  0.03
8 O 0.796 0.796 0.675  0.04
9 O 0.204 0.204 0.325  0.04
10 O 0.204 0.204 0.675  0.04
11 O 0.704 0.296 0.825  0.04
12 O 0.296 0.704 0.825  0.04
13 O 0.296 0.704 0.175  0.04
14 O 0.704 0.296 0.175  0.04
15 Nb 0.000 0.000 0.169  0.03
16 Nb 0.500 0.500 0.669  0.03
17 Nb 0.000 0.000 0.831  0.03
18 Nb 0.500 0.500 0.331  0.03

E_tot: -0.306 Ha/atom
density of states at the Fermi level: 0.00 states/eV/cell
offset from the most stable computed form: 0.026 eV per atom

=====

Material: NbCo3O
Method: DFT, GGA+U
State: optimized geometry

Lattice parameters (Å, degrees): 3.906 3.906 3.906 90.00 90.00 90.00
Each line ends with the local moment (μB).
Positions (direct):
1 Co 0.000 0.000 0.500  1.58
2 Co 0.000 0.500 0.000  1.59
3 Co 0.500 0.000 0.000  1.93
4 O 0.000 0.000 0.000  0.05
5 Nb 0.500 0.500 0.500  -0.24

E_tot: -0.206 Ha/atom
density of states at the Fermi level: 6.12 states/eV/cell
offset from the most stable computed form: 0.000 eV per atom

=====

Material: Nb2CoO6
Method: DFT, GGA+U
State: optimized geometry

Lattice parameters (Å, degrees): 5.099 5.831 14.329 90.00 90.00 90.00
Each line ends with the local moment (μB).
Positions (direct):
1 O 0.077 0.875 0.745  0.01
2 O 0.092 0.381 0.422  0.04
3 O 0.922 0.607 0.904  0.02
4 O 0.078 0.393 0.096  0.02
5 O 0.577 0.625 0.755  0.01
6 O 0.908 0.119 0.922  0.04
7 O 0.577 0.125 0.745  0.01
8 O 0.078 0.893 0.404  0.02
9 O 0.422 0.893 0.596  0.02
10 O 0.922 0.107 0.596  0.02
11 O 0.423 0.375 0.245  0.01
12 O 0.422 0.393 0.904  0.02
13 O 0.592 0.619 0.422  0.04
14 O 0.423 0.875 0.255  0.01
15 O 0.908 0.619 0.578  0.04
16 O 0.077 0.375 0.755  0.01
17 O 0.923 0.625 0.245  0.01
18 O 0.592 0.119 0.078  0.04
19 O 0.578 0.107 0.404  0.02
20 O 0.578 0.607 0.096  0.02
21 O 0.092 0.881 0.078  0.04
22 O 0.923 0.125 0.255  0.01
23 O 0.408 0.881 0.922  0.04
24 O 0.408 0.381 0.578  0.04
25 Nb 0.753 0.319 0.160  0.05
26 Nb 0.247 0.681 0.840  0.05
27 Nb 0.753 0.819 0.340  0.05
28 Nb 0.247 0.181 0.660  0.05
29 Nb 0.253 0.681 0.160  0.05
30 Nb 0.747 0.819 0.660  0.05
31 Nb 0.253 0.181 0.340  0.05
32 Nb 0.747 0.319 0.840  0.05
33 Co 0.250 0.157 0.000  2.72
34 Co 0.750 0.843 0.000  2.72
35 Co 0.750 0.343 0.500  2.72
36 Co 0.250 0.657 0.500  2.72

E_tot: -0.307 Ha/atom
density of states at the Fermi level: 0.00 states/eV/cell
offset from the most stable computed form: 0.000 eV per atom

=====

Material: Nb2CoO6
Method: DFT, GGA+U
State: optimized geometry

Lattice parameters (Å, degrees): 5.718 5.718 7.445 72.02 72.02 73.54
Each line ends with the local moment (μB).
Positions (direct):
1 Nb 0.665 0.665 0.314  0.06
2 Nb 0.335 0.335 0.686  0.06
3 Nb 0.000 0.000 0.000  0.05
4 Nb 0.000 0.000 0.500  0.01
5 Co 0.667 0.667 0.830  2.72
6 Co 0.333 0.333 0.170  2.72
7 O 0.433 0.433 0.864  0.05
8 O 0.023 0.642 0.161  0.02
9 O 0.567 0.567 0.136  0.05
10 O 0.778 0.778 0.521  0.04
11 O 0.977 0.358 0.839  0.02
12 O 0.642 0.023 0.161  0.02
13 O 0.358 0.977 0.839  0.02
14 O 0.910 0.910 0.792  0.03
15 O 0.306 0.694 0.500  0.01
16 O 0.222 0.222 0.479  0.04
17 O 0.694 0.306 0.500  0.01
18 O 0.090 0.090 0.208  0.03

E_tot: -0.305 Ha/atom
offset from the most stable computed form: 0.051 eV per atom

=====

Material: Nb2CoO6
Method: DFT, GGA+U
State: optimized geometry

Lattice parameters (Å, degrees): 3.788 5.329 6.796 66.25 73.82 69.18
Each line ends with the local moment (μB).
Positions (direct):
1 Co 0.000 0.500 0.500  2.74
2 Nb 0.816 0.218 0.150  0.04
3 Nb 0.184 0.782 0.850  0.04
4 O 0.983 0.820 0.214  0.02
5 O 0.306 0.322 0.065  0.00
6 O 0.017 0.180 0.786  0.02
7 O 0.694 0.678 0.935  0.00
8 O 0.652 0.290 0.406  0.04
9 O 0.348 0.710 0.594  0.04

E_tot: -0.305 Ha/atom
density of states at the Fermi level: 0.00 states/eV/cell
offset from the most stable computed form: 0.063 eV per atom

=====

Material: NbCo3O
Method: DFT, GGA+U
State: optimized geometry

Lattice parameters (Å, degrees): 4.506 4.506 4.506 90.00 90.00 90.00
Each line ends with the local moment (μB).
Positions (direct):
1 Co 0.000 0.500 0.000  1.24
2 Co 0.500 0.000 0.000  1.07
3 Co 0.000 0.000 0.500  1.38
4 O 0.500 0.500 0.500  -0.22
5 Nb 0.000 0.000 0.000  -0.74

E_tot: -0.147 Ha/atom
density of states at the Fermi level: 2.74 states/eV/cell
offset from the most stable computed form: 1.606 eV per atom

=====

Q: Look up the E_tot of the first one.
A: -0.265 Ha/atom

=====

Please write out number 4 again, unchanged.
Material: NbCo3O
Method: DFT, GGA+U
State: optimized geometry

Lattice parameters (Å, degrees): 3.906 3.906 3.906 90.00 90.00 90.00
Each line ends with the local moment (μB).
Positions (direct):
1 Co 0.000 0.000 0.500  1.58
2 Co 0.000 0.500 0.000  1.59
3 Co 0.500 0.000 0.000  1.93
4 O 0.000 0.000 0.000  0.05
5 Nb 0.500 0.500 0.500  -0.24

E_tot: -0.206 Ha/atom
density of states at the Fermi level: 6.12 states/eV/cell
offset from the most stable computed form: 0.000 eV per atom